Here is crystalline RhAu at its relaxed geometry from the Alexandria database. Energies are from PBE-GGA.

The structure in extended XYZ format:
```
12
Lattice="-7.255 -4.033 3.694 6.972 2.508 5.258 -1.213 2.544 0.395" Properties=species:S:1:pos:R:3 pbc="T T T"
Au -0.272 1.155 7.110
Au -1.874 -1.182 6.984
Au -5.350 -2.333 3.721
Au -1.224 -0.135 2.237
Au 3.854 3.352 5.626
Au 0.378 2.201 2.363
Rh -3.919 0.041 3.078
Rh 2.786 1.546 3.730
Rh -4.283 -0.526 5.618
Rh 2.423 0.978 6.269
Rh -2.066 0.651 4.839
Rh 0.570 0.368 4.508
```

Properties
The value obtained for the electronic total energy is -5.10 eV/atom. The calculation puts the formation energy at 213 meV/atom. Its density of states at the Fermi level is 1.3661 states/eV/atom. For the magnetic moment, the calculation gives 0.0 μB/cell.